Entry 1:
A plane-wave DFT calculation with PBE was carried out for Ta2CrInSn after structural relaxation.

```
data_Ta2CrInSn
_chemical_formula_sum 'Ta2 Cr1 In1 Sn1'
_space_group_name_H-M_alt 'P 4/m m m'
_space_group_IT_number 123
_space_group_name_Hall '-P 4 2'
_cell_length_a 4.6553
_cell_length_b 4.6553
_cell_length_c 5.0184
_cell_angle_alpha 90.00
_cell_angle_beta 90.00
_cell_angle_gamma 90.00
loop_
_atom_site_label
_atom_site_fract_x
_atom_site_fract_y
_atom_site_fract_z
_atom_site_occupancy
Ta1 0.0000 0.5000 0.0000 1
Cr1 0.0000 0.0000 0.0000 1
In1 0.0000 0.0000 0.5000 1
Sn1 0.5000 0.5000 0.5000 1
```

Final energy in eV per atom: -7.094

---

Entry 2:
A plane-wave DFT calculation with PBE was carried out for KCr2P after structural relaxation.

```
data_KCr2P
_chemical_formula_sum 'K2 Cr4 P2'
_space_group_name_H-M_alt 'I m m 2'
_space_group_IT_number 44
_cell_length_a 3.0058
_cell_length_b 5.6105
_cell_length_c 10.0684
_cell_angle_alpha 90.00
_cell_angle_beta 90.00
_cell_angle_gamma 90.00
loop_
_space_group_symop_operation_xyz
'x,y,z'
'-x,-y,z'
'-x,y,z'
'x,-y,z'
'x+1/2,y+1/2,z+1/2'
'-x+1/2,-y+1/2,z+1/2'
'-x+1/2,y+1/2,z+1/2'
'x+1/2,-y+1/2,z+1/2'
loop_
_atom_site_label
_atom_site_fract_x
_atom_site_fract_y
_atom_site_fract_z
_atom_site_occupancy
K1 0.0000 0.0000 0.0000 1
Cr1 0.0000 0.0000 0.4603 1
Cr2 0.0000 0.5000 0.1753 1
P1 0.0000 0.5000 0.7750 1
```

Final energy in eV per atom: -5.744

---

Entry 3:
A plane-wave DFT calculation with PBE was carried out for CsVS2 after structural relaxation.

```
data_CsVS2
_chemical_formula_sum 'Cs2 V2 S4'
_space_group_name_H-M_alt 'P 1 2/m 1'
_space_group_IT_number 10
_cell_length_a 6.2031
_cell_length_b 3.9704
_cell_length_c 9.0557
_cell_angle_alpha 90.00
_cell_angle_beta 98.33
_cell_angle_gamma 90.00
loop_
_space_group_symop_operation_xyz
'x,y,z'
'-x,-y,-z'
'-x,y,-z'
'x,-y,z'
loop_
_atom_site_label
_atom_site_fract_x
_atom_site_fract_y
_atom_site_fract_z
_atom_site_occupancy
Cs1 0.2176 0.0000 0.3253 1
V1 0.3175 0.5000 0.9122 1
S1 0.0000 0.5000 0.0000 1
S2 0.2907 0.5000 0.6722 1
S3 0.5000 0.0000 0.0000 1
```

Energy relative to the elements, uncorrected in meV per atom: -933

---

Entry 4:
A plane-wave DFT calculation with PBE was carried out for TiCoSiRu after structural relaxation.

```
data_TiCoSiRu
_chemical_formula_sum 'Ti4 Co4 Si4 Ru4'
_space_group_name_H-M_alt 'F -4 3 m'
_space_group_IT_number 216
_space_group_name_Hall 'F -4 2 3'
_cell_length_a 5.8951
_cell_length_b 5.8951
_cell_length_c 5.8951
_cell_angle_alpha 90.00
_cell_angle_beta 90.00
_cell_angle_gamma 90.00
loop_
_atom_site_label
_atom_site_fract_x
_atom_site_fract_y
_atom_site_fract_z
_atom_site_occupancy
Ti1 0.0000 0.0000 0.0000 1
Co1 0.2500 0.2500 0.2500 1
Si1 0.0000 0.0000 0.5000 1
Ru1 0.2500 0.2500 0.7500 1
```

Energy relative to the elements, uncorrected in meV per atom: -697

---

Entry 5:
A plane-wave DFT calculation with PBE was carried out for V2HRh9 after structural relaxation.

```
data_V2HRh9
_chemical_formula_sum 'V2 H1 Rh9'
_space_group_name_H-M_alt 'P 4/m m m'
_space_group_IT_number 123
_space_group_name_Hall '-P 4 2'
_cell_length_a 3.8178
_cell_length_b 3.8178
_cell_length_c 11.0965
_cell_angle_alpha 90.00
_cell_angle_beta 90.00
_cell_angle_gamma 90.00
loop_
_atom_site_label
_atom_site_fract_x
_atom_site_fract_y
_atom_site_fract_z
_atom_site_occupancy
V1 0.0000 0.0000 0.1803 1
H1 0.0000 0.0000 0.5000 1
Rh1 0.0000 0.5000 0.0000 1
Rh2 0.0000 0.5000 0.3386 1
Rh3 0.5000 0.5000 0.1678 1
Rh4 0.5000 0.5000 0.5000 1
```

Final energy in eV per atom: -7.375

---

Entry 6:
A plane-wave DFT calculation with PBE was carried out for RbCa2RuAu after structural relaxation.

```
data_RbCa2RuAu
_chemical_formula_sum 'Rb1 Ca2 Ru1 Au1'
_space_group_name_H-M_alt 'P 4/m m m'
_space_group_IT_number 123
_space_group_name_Hall '-P 4 2'
_cell_length_a 5.6530
_cell_length_b 5.6530
_cell_length_c 6.0787
_cell_angle_alpha 90.00
_cell_angle_beta 90.00
_cell_angle_gamma 90.00
loop_
_atom_site_label
_atom_site_fract_x
_atom_site_fract_y
_atom_site_fract_z
_atom_site_occupancy
Rb1 0.0000 0.0000 0.0000 1
Ca1 0.0000 0.5000 0.5000 1
Ru1 0.5000 0.5000 0.0000 1
Au1 0.0000 0.0000 0.5000 1
```

Final energy in eV per atom: -2.784

---

Entry 7:
A plane-wave DFT calculation with PBE was carried out for AcAl2Pt after structural relaxation.

```
data_AcAl2Pt
_chemical_formula_sum 'Ac1 Al2 Pt1'
_space_group_name_H-M_alt 'P 4/m m m'
_space_group_IT_number 123
_space_group_name_Hall '-P 4 2'
_cell_length_a 3.3634
_cell_length_b 3.3634
_cell_length_c 7.5471
_cell_angle_alpha 90.00
_cell_angle_beta 90.00
_cell_angle_gamma 90.00
loop_
_atom_site_label
_atom_site_fract_x
_atom_site_fract_y
_atom_site_fract_z
_atom_site_occupancy
Ac1 0.0000 0.0000 0.0000 1
Al1 0.5000 0.5000 0.3219 1
Pt1 0.0000 0.0000 0.5000 1
```

Offset from the most stable computed form in eV/atom: 0.378

---

Entry 8:
A plane-wave DFT calculation with PBE was carried out for Pu2GaAu3 after structural relaxation.

```
data_Pu2GaAu3
_chemical_formula_sum 'Pu2 Ga1 Au3'
_space_group_name_H-M_alt 'P m m 2'
_space_group_IT_number 25
_cell_length_a 3.1779
_cell_length_b 4.8001
_cell_length_c 8.3340
_cell_angle_alpha 90.00
_cell_angle_beta 90.00
_cell_angle_gamma 90.00
loop_
_space_group_symop_operation_xyz
'x,y,z'
'-x,-y,z'
'-x,y,z'
'x,-y,z'
loop_
_atom_site_label
_atom_site_fract_x
_atom_site_fract_y
_atom_site_fract_z
_atom_site_occupancy
Pu1 0.0000 0.0000 0.0000 1
Pu2 0.0000 0.5000 0.4935 1
Ga1 0.5000 0.5000 0.8253 1
Au1 0.5000 0.0000 0.3338 1
Au2 0.5000 0.0000 0.6749 1
Au3 0.5000 0.5000 0.1498 1
```

Final energy in eV per atom: -7.419

---

Entry 9:
A plane-wave DFT calculation with PBE was carried out for NaZn9Ga2 after structural relaxation.

```
data_NaZn9Ga2
_chemical_formula_sum 'Na1 Zn9 Ga2'
_space_group_name_H-M_alt 'P 6/m m m'
_space_group_IT_number 191
_space_group_name_Hall '-P 6 2'
_cell_length_a 8.6210
_cell_length_b 8.6210
_cell_length_c 3.1774
_cell_angle_alpha 90.00
_cell_angle_beta 90.00
_cell_angle_gamma 120.00
loop_
_atom_site_label
_atom_site_fract_x
_atom_site_fract_y
_atom_site_fract_z
_atom_site_occupancy
Na1 0.0000 0.0000 0.0000 1
Zn1 0.0000 0.5000 0.0000 1
Zn2 0.1801 0.3602 0.5000 1
Ga1 0.3333 0.6667 0.0000 1
```

Offset from the most stable computed form in eV/atom: 0.064

---

Entry 10:
A plane-wave DFT calculation with PBE was carried out for Y3HoZn8 after structural relaxation.

```
data_Y3HoZn8
_chemical_formula_sum 'Y9 Ho3 Zn24'
_space_group_name_H-M_alt 'R 3 m'
_space_group_IT_number 160
_space_group_name_Hall 'R 3 -2"'
_cell_length_a 5.4776
_cell_length_b 5.4776
_cell_length_c 26.6731
_cell_angle_alpha 90.00
_cell_angle_beta 90.00
_cell_angle_gamma 120.00
loop_
_atom_site_label
_atom_site_fract_x
_atom_site_fract_y
_atom_site_fract_z
_atom_site_occupancy
Y1 0.0000 0.0000 0.0000 1
Y2 0.0000 0.0000 0.1249 1
Y3 0.0000 0.0000 0.6241 1
Ho1 0.0000 0.0000 0.4996 1
Zn1 0.0000 0.0000 0.3121 1
Zn2 0.0000 0.0000 0.8122 1
Zn3 0.0001 0.5000 0.0623 1
Zn4 0.0000 0.5000 0.5620 1
```

Final energy in eV per atom: -3.187

---

Entry 11:
A plane-wave DFT calculation with PBE was carried out for CsLaSiO4 after structural relaxation.

```
data_CsLaSiO4
_chemical_formula_sum 'Cs2 La2 Si2 O8'
_space_group_name_H-M_alt 'P 1 21/m 1'
_space_group_IT_number 11
_cell_length_a 5.9445
_cell_length_b 5.8646
_cell_length_c 8.1259
_cell_angle_alpha 90.00
_cell_angle_beta 106.86
_cell_angle_gamma 90.00
loop_
_space_group_symop_operation_xyz
'x,y,z'
'-x,-y,-z'
'-x,y+1/2,-z'
'x,-y+1/2,z'
loop_
_atom_site_label
_atom_site_fract_x
_atom_site_fract_y
_atom_site_fract_z
_atom_site_occupancy
Cs1 0.2055 0.2500 0.4278 1
La1 0.2692 0.2500 0.9526 1
Si1 0.2657 0.7500 0.1547 1
O1 0.0866 0.7500 0.9556 1
O2 0.0970 0.7500 0.2825 1
O3 0.4448 0.5278 0.1745 1
```

Energy relative to the elements, uncorrected in meV per atom: -2882

---

Entry 12:
A plane-wave DFT calculation with PBE was carried out for PaCl2O after structural relaxation.

```
data_PaCl2O
_chemical_formula_sum 'Pa4 Cl8 O4'
_space_group_name_H-M_alt 'I -4 2 d'
_space_group_IT_number 122
_space_group_name_Hall 'I -4 2bw'
_cell_length_a 10.4381
_cell_length_b 10.4381
_cell_length_c 4.1986
_cell_angle_alpha 90.00
_cell_angle_beta 90.00
_cell_angle_gamma 90.00
loop_
_atom_site_label
_atom_site_fract_x
_atom_site_fract_y
_atom_site_fract_z
_atom_site_occupancy
Pa1 0.0000 0.0000 0.0000 1
Cl1 0.0844 0.2500 0.1250 1
O1 0.0000 0.0000 0.5000 1
```

Energy relative to the elements, uncorrected in meV per atom: -2368
Offset from the most stable computed form in eV/atom: 0.083

---

Entry 13:
A plane-wave DFT calculation with PBE was carried out for HfAlSi after structural relaxation.

```
data_HfAlSi
_chemical_formula_sum 'Hf4 Al4 Si4'
_space_group_name_H-M_alt 'A m m 2'
_space_group_IT_number 38
_cell_length_a 3.7874
_cell_length_b 3.8865
_cell_length_c 13.9736
_cell_angle_alpha 90.00
_cell_angle_beta 90.00
_cell_angle_gamma 90.00
loop_
_space_group_symop_operation_xyz
'x,y,z'
'-x,-y,z'
'-x,y,z'
'x,-y,z'
'x,y+1/2,z+1/2'
'-x,-y+1/2,z+1/2'
'-x,y+1/2,z+1/2'
'x,-y+1/2,z+1/2'
loop_
_atom_site_label
_atom_site_fract_x
_atom_site_fract_y
_atom_site_fract_z
_atom_site_occupancy
Hf1 0.0000 0.0000 0.0000 1
Hf2 0.5000 0.0000 0.1917 1
Al1 0.5000 0.0000 0.5208 1
Al2 0.5000 0.0000 0.8470 1
Si1 0.0000 0.0000 0.3472 1
Si2 0.0000 0.0000 0.6474 1
```

Energy relative to the elements, uncorrected in meV per atom: -468

---

Entry 14:
A plane-wave DFT calculation with PBE was carried out for Co5CuGe6 after structural relaxation.

```
data_Co5CuGe6
_chemical_formula_sum 'Co10 Cu2 Ge12'
_space_group_name_H-M_alt 'C 1 2/m 1'
_space_group_IT_number 12
_cell_length_a 4.9684
_cell_length_b 8.5995
_cell_length_c 7.5890
_cell_angle_alpha 90.00
_cell_angle_beta 102.52
_cell_angle_gamma 90.00
loop_
_space_group_symop_operation_xyz
'x,y,z'
'-x,-y,-z'
'-x,y,-z'
'x,-y,z'
'x+1/2,y+1/2,z'
'-x+1/2,-y+1/2,-z'
'-x+1/2,y+1/2,-z'
'x+1/2,-y+1/2,z'
loop_
_atom_site_label
_atom_site_fract_x
_atom_site_fract_y
_atom_site_fract_z
_atom_site_occupancy
Co1 0.0000 0.0000 0.0000 1
Co2 0.0000 0.1688 0.5000 1
Co3 0.0000 0.3407 0.0000 1
Cu1 0.0000 0.5000 0.5000 1
Ge1 0.2375 0.0000 0.7517 1
Ge2 0.2409 0.1731 0.2423 1
```

Final energy in eV per atom: -5.584

---

Entry 15:
A plane-wave DFT calculation with PBE was carried out for Sc5U3H12 after structural relaxation.

```
data_Sc5U3H12
_chemical_formula_sum 'Sc40 U24 H96'
_space_group_name_H-M_alt 'I a -3 d'
_space_group_IT_number 230
_space_group_name_Hall '-I 4bd 2c 3'
_cell_length_a 12.2983
_cell_length_b 12.2983
_cell_length_c 12.2983
_cell_angle_alpha 90.00
_cell_angle_beta 90.00
_cell_angle_gamma 90.00
loop_
_atom_site_label
_atom_site_fract_x
_atom_site_fract_y
_atom_site_fract_z
_atom_site_occupancy
Sc1 0.0000 0.0000 0.0000 1
Sc2 0.0000 0.2500 0.3750 1
U1 0.0000 0.2500 0.1250 1
H1 0.0115 0.0691 0.6509 1
```

Final energy in eV per atom: -5.579

---

Entry 16:
A plane-wave DFT calculation with PBE was carried out for SrLaMnIr2 after structural relaxation.

```
data_SrLaMnIr2
_chemical_formula_sum 'Sr1 La1 Mn1 Ir2'
_space_group_name_H-M_alt 'P 4/m m m'
_space_group_IT_number 123
_space_group_name_Hall '-P 4 2'
_cell_length_a 4.9726
_cell_length_b 4.9726
_cell_length_c 5.6513
_cell_angle_alpha 90.00
_cell_angle_beta 90.00
_cell_angle_gamma 90.00
loop_
_atom_site_label
_atom_site_fract_x
_atom_site_fract_y
_atom_site_fract_z
_atom_site_occupancy
Sr1 0.0000 0.0000 0.0000 1
La1 0.0000 0.0000 0.5000 1
Mn1 0.5000 0.5000 0.0000 1
Ir1 0.0000 0.5000 0.5000 1
```

Final energy in eV per atom: -4.811

---

Entry 17:
A plane-wave DFT calculation with PBE was carried out for ScTaBe after structural relaxation.

```
data_ScTaBe
_chemical_formula_sum 'Sc4 Ta4 Be4'
_space_group_name_H-M_alt 'F -4 3 m'
_space_group_IT_number 216
_space_group_name_Hall 'F -4 2 3'
_cell_length_a 5.9675
_cell_length_b 5.9675
_cell_length_c 5.9675
_cell_angle_alpha 90.00
_cell_angle_beta 90.00
_cell_angle_gamma 90.00
loop_
_atom_site_label
_atom_site_fract_x
_atom_site_fract_y
_atom_site_fract_z
_atom_site_occupancy
Sc1 0.0000 0.0000 0.0000 1
Ta1 0.0000 0.0000 0.5000 1
Be1 0.2500 0.2500 0.2500 1
```

Offset from the most stable computed form in eV/atom: 0.401

---

Entry 18:
A plane-wave DFT calculation with PBE was carried out for Tb3Nd12Th after structural relaxation.

```
data_Tb3Nd12Th
_chemical_formula_sum 'Tb3 Nd12 Th1'
_space_group_name_H-M_alt 'P 4/m m m'
_space_group_IT_number 123
_space_group_name_Hall '-P 4 2'
_cell_length_a 5.1682
_cell_length_b 5.1682
_cell_length_c 20.6368
_cell_angle_alpha 90.00
_cell_angle_beta 90.00
_cell_angle_gamma 90.00
loop_
_atom_site_label
_atom_site_fract_x
_atom_site_fract_y
_atom_site_fract_z
_atom_site_occupancy
Tb1 0.0000 0.0000 0.0000 1
Tb2 0.0000 0.0000 0.2497 1
Nd1 0.0000 0.5000 0.1252 1
Nd2 0.0000 0.5000 0.3766 1
Nd3 0.5000 0.5000 0.0000 1
Nd4 0.5000 0.5000 0.2481 1
Nd5 0.5000 0.5000 0.5000 1
Th1 0.0000 0.0000 0.5000 1
```

Final energy in eV per atom: -4.882

---

Entry 19:
A plane-wave DFT calculation with PBE was carried out for CoPdAu2 after structural relaxation.

```
data_CoPdAu2
_chemical_formula_sum 'Co4 Pd4 Au8'
_space_group_name_H-M_alt 'I -4 2 d'
_space_group_IT_number 122
_space_group_name_Hall 'I -4 2bw'
_cell_length_a 7.1946
_cell_length_b 7.1946
_cell_length_c 5.3589
_cell_angle_alpha 90.00
_cell_angle_beta 90.00
_cell_angle_gamma 90.00
loop_
_atom_site_label
_atom_site_fract_x
_atom_site_fract_y
_atom_site_fract_z
_atom_site_occupancy
Co1 0.0000 0.0000 0.0000 1
Pd1 0.0000 0.0000 0.5000 1
Au1 0.2275 0.2500 0.1250 1
```

Final energy in eV per atom: -4.305

---

Entry 20:
A plane-wave DFT calculation with PBE was carried out for CaTlSe2O8 after structural relaxation.

```
data_CaTlSe2O8
_chemical_formula_sum 'Ca3 Tl3 Se6 O24'
_space_group_name_H-M_alt 'R -3'
_space_group_IT_number 148
_space_group_name_Hall '-R 3'
_cell_length_a 5.2443
_cell_length_b 5.2443
_cell_length_c 22.8205
_cell_angle_alpha 90.00
_cell_angle_beta 90.00
_cell_angle_gamma 120.00
loop_
_atom_site_label
_atom_site_fract_x
_atom_site_fract_y
_atom_site_fract_z
_atom_site_occupancy
Ca1 0.0000 0.0000 0.0000 1
Tl1 0.0000 0.0000 0.5000 1
Se1 0.0000 0.0000 0.2470 1
O1 0.0000 0.0000 0.1731 1
O2 0.0188 0.7065 0.2700 1
```

Energy relative to the elements, uncorrected in meV per atom: -1058

---

| no. | D(E_F) (states/eV per atom) |
| --- | --- |
| 1 | 1.081 |
| 2 | 0.674 |
| 3 | 0.450 |
| 4 | 0.349 |
| 5 | 1.049 |
| 6 | 1.059 |
| 7 | 0.602 |
| 8 | 2.882 |
| 9 | 0.298 |
| 10 | 0.563 |
| 11 | 0.000 |
| 12 | 1.110 |
| 13 | 0.479 |
| 14 | 0.784 |
| 15 | 1.191 |
| 16 | 1.662 |
| 17 | 1.044 |
| 18 | 1.463 |
| 19 | 1.188 |
| 20 | 0.306 |